An optimized crystal structure of Cu6Ni2Au. Source: Alexandria, functional PBE-GGA.

Calculated values
- ΔH_f (0 K): 0.0804 eV per atom
- VASP energy: -4.299 eV/atom

Cell: 6.506 7.208 4.861 Å, 90.00 98.32 90.00°
Space group C2/m (No. 12)
Asymmetric unit:
Cu (0.000, 0.170, 0.000)
Cu (0.165, 0.335, 0.670)
Ni (0.158, 0.500, 0.158)
Au (0.000, 0.000, 0.500)

=====

An optimized crystal structure of Li2TmGa4. Source: Alexandria, functional PBE-GGA.

Calculated values
- Polymorph energy (0 for the lowest one): 0.000 eV per formula unit
- ΔH_f (0 K): -0.3757 eV per atom
- VASP energy: -3.291 eV/atom

Cell: 3.348 4.335 18.174 Å, 90.00 90.00 90.00°
Space group Immm (No. 71)
Asymmetric unit:
Li (0.000, 0.000, 0.199)
Tm (0.000, 0.500, 0.000)
Ga (0.000, 0.000, 0.349)
Ga (0.000, 0.500, 0.428)

=====

An optimized crystal structure of Ho6BiC2. Source: Alexandria, functional PBE-GGA.

Calculated values
- ΔH_f (0 K): -0.2131 eV per atom
- VASP energy: -5.746 eV/atom

Cell: 13.104 4.858 8.770 Å, 90.00 124.03 90.00°
Space group C2/m (No. 12)
Asymmetric unit:
Ho (0.036, 0.000, 0.192)
Ho (0.170, 0.500, 0.583)
Ho (0.192, 0.500, 0.065)
Bi (0.000, 0.000, 0.500)
C (0.180, 0.000, 0.093)

=====

An optimized crystal structure of Li2BeIr. Source: Alexandria, functional PBE-GGA.

Calculated values
- ΔH_f (0 K): -0.0268 eV per atom
- VASP energy: -4.130 eV/atom

Cell: 4.639 8.408 2.557 Å, 90.00 90.00 90.00°
Space group Cmmm (No. 65)
Asymmetric unit:
Li (0.250, 0.250, 0.000)
Be (0.000, 0.000, 0.500)
Ir (0.000, 0.500, 0.500)

=====

An optimized crystal structure of K2ScAgF6. Source: Alexandria, functional PBE-GGA.

Calculated values
- ΔE_f (raw): -282.2 kJ per mole of atoms
- VASP energy: -5.186 eV/atom

Cell: 8.890 8.890 8.890 Å, 90.00 90.00 90.00°
Space group Fm-3m (No. 225)
Asymmetric unit:
K (0.250, 0.250, 0.250)
Sc (0.000, 0.000, 0.000)
Ag (0.000, 0.000, 0.500)
F (0.000, 0.000, 0.228)

=====

An optimized crystal structure of Ce4ZnPt3. Source: Alexandria, functional PBE-GGA.

Calculated values
- ΔH_f (0 K): -0.8528 eV per atom
- VASP energy: -6.244 eV/atom

Cell: 3.853 4.455 11.129 Å, 90.00 90.00 90.00°
Space group Pmm2 (No. 25)
Asymmetric unit:
Ce (0.000, 0.000, 0.000)
Ce (0.000, 0.500, 0.270)
Ce (0.500, 0.000, 0.490)
Ce (0.500, 0.500, 0.775)
Zn (0.000, 0.000, 0.708)
Pt (0.000, 0.500, 0.552)
Pt (0.500, 0.000, 0.227)
Pt (0.500, 0.500, 0.041)

=====

- VASP energy of number 5 (K2ScAgF6)?
  -5.186 eV/atom